Below is a relaxed structure of KCrIr2, with properties calculated at the PBE level.

Cell: 5.109 5.109 2.742 Å, 90.00 90.00 90.00°
Space group P4/mmm (No. 123)
One atom of each set of equivalent atoms:
1 K 0.000 0.000 0.000
2 Cr 0.500 0.500 0.000
3 Ir 0.000 0.500 0.500

Output
Calculated formation energy = 1.172 eV/atom


Below is a relaxed structure of KGa2AgAu, with properties calculated at the PBE level.

Cell: 4.805 4.805 10.195 Å, 90.00 90.00 90.00°
Space group I-4m2 (No. 119)
One atom of each set of equivalent atoms:
1 K 0.000 0.000 0.000
2 Ga 0.000 0.000 0.365
3 Ag 0.000 0.500 0.250
4 Au 0.000 0.500 0.750

Output
Calculated formation energy = -0.182 eV/atom


Below is a relaxed structure of TaSi2Pt, with properties calculated at the PBE level.

Cell: 3.852 3.852 8.285 Å, 90.00 90.00 90.00°
Space group I4/mmm (No. 139)
One atom of each set of equivalent atoms:
1 Ta 0.000 0.000 0.000
2 Si 0.000 0.500 0.250
3 Pt 0.000 0.000 0.500

Output
ΔE_f (raw) = -7.4 kJ/mol of atoms


Below is a relaxed structure of Sc2Al2Pd3, with properties calculated at the PBE level.

Cell: 4.600 4.605 7.287 Å, 90.00 71.65 60.06°
Space group P-1 (No. 2)
One atom of each set of equivalent atoms:
1 Sc 0.225 0.387 0.163
2 Al 0.256 0.873 0.615
3 Pd 0.000 0.000 0.000
4 Pd 0.500 0.250 0.748

Output
Calculated formation energy = -0.809 eV/atom


Below is a relaxed structure of BeCrNiSb2, with properties calculated at the PBE level.

Cell: 4.827 4.827 4.725 Å, 90.00 90.00 90.00°
Space group P4/mmm (No. 123)
One atom of each set of equivalent atoms:
1 Be 0.000 0.000 0.000
2 Cr 0.500 0.500 0.000
3 Ni 0.500 0.500 0.500
4 Sb 0.000 0.500 0.500

Output
ΔE_f (raw) = 84.0 kJ/mol of atoms


Below is a relaxed structure of Cd2Ni2Au, with properties calculated at the PBE level.

Cell: 7.556 7.556 2.909 Å, 90.00 90.00 90.00°
Space group P4/mbm (No. 127)
One atom of each set of equivalent atoms:
1 Cd 0.152 0.348 0.000
2 Ni 0.143 0.643 0.500
3 Au 0.000 0.000 0.000

Output
Calculated formation energy = 0.178 eV/atom


Below is a relaxed structure of KGaSn3, with properties calculated at the PBE level.

Cell: 5.526 5.526 5.526 Å, 90.00 90.00 90.00°
Space group Pm-3m (No. 221)
One atom of each set of equivalent atoms:
1 K 0.000 0.000 0.000
2 Ga 0.500 0.500 0.500
3 Sn 0.000 0.500 0.500

Output
Calculated formation energy = 0.165 eV/atom


Below is a relaxed structure of Ta2InRh, with properties calculated at the PBE level.

Cell: 4.842 3.004 5.104 Å, 90.00 106.70 90.00°
Space group P2/m (No. 10)
One atom of each set of equivalent atoms:
1 Ta 0.000 0.000 0.000
2 Ta 0.500 0.500 0.000
3 In 0.000 0.500 0.500
4 Rh 0.500 0.000 0.500

Output
Calculated formation energy = -0.004 eV/atom


Below is a relaxed structure of SbP2Cl, with properties calculated at the PBE level.

Cell: 6.935 6.935 8.659 Å, 90.00 90.00 90.00°
Space group I-42d (No. 122)
One atom of each set of equivalent atoms:
1 Sb 0.000 0.000 0.000
2 P 0.229 0.250 0.125
3 Cl 0.000 0.000 0.500

Output
ΔE_f (raw) = 52.2 kJ/mol of atoms


Below is a relaxed structure of Li2HfOF, with properties calculated at the PBE level.

Cell: 5.768 5.768 3.930 Å, 90.00 90.00 90.00°
Space group P4/mmm (No. 123)
One atom of each set of equivalent atoms:
1 Li 0.000 0.500 0.000
2 Hf 0.000 0.000 0.000
3 O 0.000 0.000 0.500
4 F 0.500 0.500 0.500

Output
ΔE_f (raw) = -81.5 kJ/mol of atoms


Below is a relaxed structure of NaHfP2O, with properties calculated at the PBE level.

Cell: 4.681 4.681 3.882 Å, 90.00 90.00 90.00°
Space group P4/mmm (No. 123)
One atom of each set of equivalent atoms:
1 Na 0.000 0.000 0.000
2 Hf 0.500 0.500 0.500
3 P 0.000 0.500 0.000
4 O 0.000 0.000 0.500

Output
ΔE_f (raw) = 57.1 kJ/mol of atoms


Below is a relaxed structure of CuAgBr4, with properties calculated at the PBE level.

Cell: 6.437 4.242 13.412 Å, 90.00 108.60 90.00°
Space group P2_1/c (No. 14)
One atom of each set of equivalent atoms:
1 Cu 0.000 0.000 0.000
2 Ag 0.500 0.000 0.500
3 Br 0.208 0.064 0.882
4 Br 0.254 0.162 0.623

Output
ΔE_f (raw) = -21.7 kJ/mol of atoms


Below is a relaxed structure of CdTc2HgO8, with properties calculated at the PBE level.

Cell: 10.962 6.275 7.795 Å, 90.00 103.82 90.00°
Space group C2/m (No. 12)
One atom of each set of equivalent atoms:
1 Cd 0.000 0.000 0.000
2 Tc 0.187 0.500 0.101
3 Hg 0.000 0.500 0.500
4 O 0.119 0.270 0.168
5 O 0.149 0.000 0.824
6 O 0.154 0.500 0.875

Output
ΔE_f (raw) = -112.5 kJ/mol of atoms


Below is a relaxed structure of Sc2ZnAg, with properties calculated at the PBE level.

Cell: 3.0687 3.0687 31.9856 Å, 90.00 90.00 120.00°
Space group R-3m (No. 166, hexagonal axes)
One atom of each set of equivalent atoms:
1 Sc 0.0000 0.0000 0.0904
2 Zn 0.0000 0.0000 0.0000
3 Ag 0.0000 0.0000 0.5000

Output
Calculated formation energy = 0.240 eV/atom


Below is a relaxed structure of YTh2Co, with properties calculated at the PBE level.

Cell: 3.8257 3.8257 26.9743 Å, 90.00 90.00 120.00°
Space group R3m (No. 160, hexagonal axes)
One atom of each set of equivalent atoms:
1 Y 0.0000 0.0000 0.0000
2 Th 0.0000 0.0000 0.2247
3 Th 0.0000 0.0000 0.4393
4 Co 0.0000 0.0000 0.8326

Output
Calculated formation energy = -0.076 eV/atom


Below is a relaxed structure of ScTlCd, with properties calculated at the PBE level.

Cell: 4.9053 4.9053 6.7097 Å, 90.00 90.00 120.00°
Space group P-3m1 (No. 164)
One atom of each set of equivalent atoms:
1 Sc 0.0000 0.0000 0.0000
2 Sc 0.0000 0.0000 0.5000
3 Tl 0.3333 0.6667 0.2818
4 Cd 0.3333 0.6667 0.7907

Output
Calculated formation energy = -0.146 eV/atom


Below is a relaxed structure of Li3NdHg4, with properties calculated at the PBE level.

Cell: 4.7409 4.7409 26.4292 Å, 90.00 90.00 120.00°
Space group R-3m (No. 166, hexagonal axes)
One atom of each set of equivalent atoms:
1 Li 0.0000 0.0000 0.0000
2 Li 0.0000 0.0000 0.2626
3 Nd 0.0000 0.0000 0.5000
4 Hg 0.0000 0.0000 0.1064
5 Hg 0.0000 0.0000 0.3717

Output
Calculated formation energy = -0.381 eV/atom


Below is a relaxed structure of AcAl2Ni, with properties calculated at the PBE level.

Cell: 4.105 11.596 7.168 Å, 90.00 90.00 90.00°
Space group Cmcm (No. 63)
One atom of each set of equivalent atoms:
1 Ac 0.000 0.049 0.250
2 Al 0.000 0.320 0.062
3 Ni 0.000 0.225 0.750

Output
Calculated formation energy = -0.517 eV/atom


Below is a relaxed structure of Mg4ZnPt5, with properties calculated at the PBE level.

Cell: 2.943 2.943 18.050 Å, 90.00 90.00 90.00°
Space group P4/mmm (No. 123)
One atom of each set of equivalent atoms:
1 Mg 0.000 0.000 0.101
2 Mg 0.000 0.000 0.304
3 Zn 0.000 0.000 0.500
4 Pt 0.500 0.500 0.000
5 Pt 0.500 0.500 0.202
6 Pt 0.500 0.500 0.406

Output
Calculated formation energy = -0.810 eV/atom


Below is a relaxed structure of ScCuC, with properties calculated at the PBE level.

Cell: 3.520 3.320 6.975 Å, 90.00 104.50 90.00°
Space group Pm (No. 6)
One atom of each set of equivalent atoms:
1 Sc 0.000 0.000 0.000
2 Sc 0.256 0.000 0.514
3 Cu 0.644 0.500 0.288
4 Cu 0.828 0.500 0.660
5 C 0.401 0.500 0.807
6 C 0.506 0.500 0.010

Output
Calculated formation energy = -0.129 eV/atom


Raw total energy / eV/cell: -23.8 -28.4 -58.1 -41.4 -23.0 -31.6 -15.3 -33.8 -58.5 -24.8 -24.1 -30.0 -151.2 -47.5 -86.1 -20.1 -44.3 -77.8 -46.0 -40.1